(1)
A geometry-optimized Li7BiO6 structure, computed with GGA-PBE.

Computed properties:
**Calculated volume**: 10.09 A^3/atom
**Crystal system**: triclinic
**Density**: 4155 kg/m3
**Space-group type**: P1
**N(E_F)**: 0.0000 states/eV/atom
**E_form (uncorrected)**: -1.679 eV/atom

```
Li7BiO6
1.0
5.537 0.000 0.000
2.676 4.912 0.000
2.598 1.678 5.196
Li Bi O
7 1 6
direct
0.000 0.000 0.000
0.022 0.754 0.759
0.125 0.489 0.457
0.329 0.351 0.005
0.437 0.093 0.736
0.627 0.600 0.008
0.891 0.190 0.361
0.528 0.837 0.392
0.144 0.078 0.621
0.303 0.959 0.117
0.391 0.482 0.629
0.623 0.224 0.167
0.760 0.772 0.631
0.918 0.610 0.147
```

=====

(2)
A geometry-optimized ZrRh3 structure, computed with GGA-PBE.

Computed properties:
**Calculated volume**: 16.10 A^3/atom
**Crystal system**: cubic
**Energy relative to the elements**: -0.345 eV/atom
**Density**: 10312 kg/m3
**Space-group type**: Fm-3m
**N(E_F)**: 2.3118 states/eV/atom

```
ZrRh3
1.0
0.000 3.181 3.181
3.181 0.000 3.181
3.181 3.181 0.000
Zr Rh
1 3
direct
0.000 0.000 0.000
0.250 0.250 0.250
0.500 0.500 0.500
0.750 0.750 0.750
```

=====

(3)
A geometry-optimized AgBr structure, computed with GGA-PBE.

Computed properties:
**Calculated volume**: 37.13 A^3/atom
**Crystal system**: tetragonal
**Density**: 4199 kg/m3
**Space-group type**: I4/m
**E_form (uncorrected)**: -0.309 eV/atom

```
AgBr
1.0
-5.734 5.734 2.258
5.734 -5.734 2.258
5.734 5.734 -2.258
Ag Br
4 4
direct
0.123 0.691 0.814
0.309 0.123 0.431
0.691 0.877 0.569
0.877 0.309 0.186
0.107 0.276 0.383
0.276 0.893 0.169
0.724 0.107 0.831
0.893 0.724 0.617
```

=====

(4)
A geometry-optimized FeBI2 structure, computed with GGA-PBE.

Computed properties:
**Calculated volume**: 22.05 A^3/atom
**Crystal system**: cubic
**Density**: 6033 kg/m3
**Space-group type**: Fm-3m
**N(E_F)**: 0.8120 states/eV/atom
**E_form (uncorrected)**: 1.399 eV/atom

```
FeBI2
1.0
0.000 3.533 3.533
3.533 0.000 3.533
3.533 3.533 0.000
Fe B I
1 1 2
direct
0.000 0.000 0.000
0.500 0.500 0.500
0.250 0.250 0.250
0.750 0.750 0.750
```

=====

Q: Number 3 is which compound?
A: AgBr

=====

Q: What is the calculated volume in the second record?
A: 16.10 A^3/atom

=====

Q: Which value of density does entry 3 give?
A: 4199 kg/m3